A geometry-optimized Zn16Tc structure, computed with GGA-PBEsol.

Structure (POSCAR):
```
Zn16Tc
1.0
-2.918 -0.845 -5.969
6.430 -1.849 -0.296
-2.871 -10.445 2.882
Zn Tc
32 2
direct
0.182 0.818 0.639
0.388 0.612 0.535
0.644 0.025 0.573
0.800 0.527 0.250
0.356 0.975 0.073
0.182 0.818 0.861
0.294 0.706 0.250
0.527 0.800 0.750
0.612 0.388 0.465
0.025 0.644 0.427
0.223 0.343 0.133
0.356 0.975 0.427
0.000 0.000 0.000
0.473 0.200 0.250
0.025 0.644 0.073
0.388 0.612 0.965
0.644 0.025 0.927
0.706 0.294 0.750
0.343 0.223 0.867
0.777 0.657 0.633
0.657 0.777 0.367
0.612 0.388 0.035
0.223 0.343 0.367
0.777 0.657 0.867
0.975 0.356 0.927
0.818 0.182 0.139
0.975 0.356 0.573
0.200 0.473 0.750
0.000 0.000 0.500
0.818 0.182 0.361
0.657 0.777 0.133
0.343 0.223 0.633
0.047 0.953 0.250
0.953 0.047 0.750
```

Output
* final energy: -73.2 eV per cell

---

A geometry-optimized TiFe3P6O24 structure, computed with GGA-PBEsol.

Structure (POSCAR):
```
TiFe3P6O24
1.0
8.071 0.000 0.000
4.036 6.990 0.000
4.036 2.330 7.179
O P Fe Ti
24 6 3 1
direct
0.011 0.633 0.566
0.379 0.199 0.430
0.265 0.881 0.739
0.781 0.825 0.908
0.180 0.502 0.800
0.519 0.210 0.093
0.199 0.992 0.430
0.210 0.178 0.093
0.115 0.265 0.739
0.633 0.790 0.566
0.887 0.751 0.260
0.517 0.465 0.199
0.790 0.011 0.566
0.818 0.517 0.199
0.465 0.818 0.199
0.502 0.519 0.800
0.751 0.103 0.260
0.992 0.379 0.430
0.178 0.519 0.093
0.103 0.887 0.260
0.519 0.180 0.800
0.881 0.115 0.739
0.825 0.486 0.908
0.486 0.781 0.908
0.033 0.474 0.755
0.474 0.738 0.755
0.738 0.033 0.755
0.539 0.248 0.246
0.248 0.968 0.246
0.968 0.539 0.246
0.649 0.649 0.054
0.859 0.859 0.424
0.350 0.350 0.949
0.138 0.138 0.587
```

Output
* ΔE_f (raw): -1.88 eV/atom

---

A geometry-optimized NdBPt4 structure, computed with GGA-PBEsol.

Structure (POSCAR):
```
NdBPt4
1.0
5.415 0.000 0.000
-2.708 4.690 0.000
0.000 0.000 7.630
B Nd Pt
2 2 8
direct
0.667 0.333 0.500
0.333 0.667 0.500
0.000 0.000 0.500
0.000 0.000 0.000
0.000 0.500 0.701
0.000 0.500 0.299
0.667 0.333 0.000
0.500 0.000 0.299
0.500 0.500 0.299
0.500 0.000 0.701
0.500 0.500 0.701
0.333 0.667 0.000
```

Output
* final energy: -89.6 eV per cell